No. 1
Here is a relaxed PrY2Sc2 crystal from the Open Quantum Materials Database. Energies are from GGA-PBE.

Output
Its space group is I4/mmm (139). For the total moment, the calculation gives 1.9 μB per formula unit. The value obtained for the mass density is 4.506 g/cm3. As for the formation energy: 0.398 eV/atom. The volume is 30.12 Å³/atom. The calculation puts the distance to the lowest polymorph of the same formula at 0.015 eV/atom.

Cell lengths 4.448, 4.448, 15.225 Å; angles 90.00, 90.00, 90.00 degrees
Atoms (fractional coordinates):
1 Pr 0.000 0.000 0.000
2 Pr 0.500 0.500 0.500
3 Y 0.000 0.000 0.402
4 Y 0.000 0.000 0.598
5 Y 0.500 0.500 0.098
6 Y 0.500 0.500 0.902
7 Sc 0.000 0.500 0.250
8 Sc 0.000 0.500 0.750
9 Sc 0.500 0.000 0.250
10 Sc 0.500 0.000 0.750

No. 2
Here is a relaxed Ac5Tc2O12 crystal from the Open Quantum Materials Database. Energies are from GGA-PBE.

Output
Its space group is C2/m (12). For the total moment, the calculation gives 1.0 μB per formula unit. The value obtained for the mass density is 8.198 g/cm3. The volume is 16.24 Å³/atom. The total DFT energy (no corrections) comes out at -153.16 eV/f.u.

Cell lengths 7.327, 7.327, 8.188 Å; angles 106.18, 106.18, 47.46 degrees
Atoms (fractional coordinates):
1 Ac 0.000 0.000 0.000
2 Ac 0.314 0.314 0.149
3 Ac 0.316 0.316 0.667
4 Ac 0.684 0.684 0.333
5 Ac 0.686 0.686 0.851
6 Tc 0.212 0.788 0.500
7 Tc 0.788 0.212 0.500
8 O 0.001 0.001 0.690
9 O 0.089 0.605 0.426
10 O 0.094 0.593 0.920
11 O 0.395 0.911 0.574
12 O 0.407 0.906 0.080
13 O 0.499 0.499 0.343
14 O 0.501 0.501 0.657
15 O 0.593 0.094 0.920
16 O 0.605 0.089 0.426
17 O 0.906 0.407 0.080
18 O 0.911 0.395 0.574
19 O 0.999 0.999 0.310

No. 3
Here is a relaxed LiAlMoOs crystal from the Open Quantum Materials Database. Energies are from GGA-PBE.

Output
Its space group is F-43m (216). For the total moment, the calculation gives 0.0 μB per formula unit. The value obtained for the mass density is 9.557 g/cm3. The volume is 13.90 Å³/atom. The calculation puts the distance to the lowest polymorph of the same formula at 0.000 eV/atom.

Cell lengths 6.059, 6.059, 6.059 Å; angles 90.00, 90.00, 90.00 degrees
Atoms (fractional coordinates):
1 Li 0.000 0.000 0.000
2 Li 0.000 0.500 0.500
3 Li 0.500 0.000 0.500
4 Li 0.500 0.500 0.000
5 Al 0.250 0.250 0.250
6 Al 0.250 0.750 0.750
7 Al 0.750 0.250 0.750
8 Al 0.750 0.750 0.250
9 Mo 0.250 0.250 0.750
10 Mo 0.250 0.750 0.250
11 Mo 0.750 0.250 0.250
12 Mo 0.750 0.750 0.750
13 Os 0.000 0.000 0.500
14 Os 0.000 0.500 0.000
15 Os 0.500 0.000 0.000
16 Os 0.500 0.500 0.500

No. 4
Here is a relaxed K2AgSnBr6 crystal from the Open Quantum Materials Database. Energies are from GGA-PBE.

Output
Its space group is I4/m (87). The value obtained for the mass density is 3.892 g/cm3. The volume is 33.46 Å³/atom. The calculation puts the distance to the lowest polymorph of the same formula at 0.000 eV/atom.

Cell lengths 7.835, 7.835, 7.835 Å; angles 121.03, 121.03, 88.23 degrees
Atoms (fractional coordinates):
1 K 0.250 0.750 0.500
2 K 0.750 0.250 0.500
3 Ag 0.000 0.000 0.000
4 Sn 0.500 0.500 0.000
5 Br 0.187 0.689 0.876
6 Br 0.250 0.250 0.000
7 Br 0.311 0.187 0.499
8 Br 0.689 0.813 0.501
9 Br 0.750 0.750 0.000
10 Br 0.813 0.311 0.124